Record 1
This record from Alexandria describes an optimized crystal structure of CdRhW2. The functional is GGA-PBE.

a b c (Å): 3.0084 4.8319 9.3505
angles (deg): 90.00 90.00 90.00
Space group Imm2 (No. 44)
One atom of each set of equivalent atoms:
Cd 0.0000 0.0000 0.0000 [2 per cell]
Rh 0.0000 0.5000 0.2356 [2 per cell]
W 0.0000 0.0000 0.5034 [2 per cell]
W 0.0000 0.5000 0.7839 [2 per cell]

Results
uncorrected energy: -8.105 eV per atom
formation enthalpy at 0 K: 439 meV/atom

---

Record 2
This record from Alexandria describes an optimized crystal structure of CaIn4Tc. The functional is GGA-PBE.

a b c (Å): 8.2323 8.2323 8.2323
angles (deg): 90.00 90.00 90.00
Space group F-43m (No. 216)
One atom of each set of equivalent atoms:
Ca 0.0000 0.0000 0.0000 [4 per cell]
In 0.1245 0.1245 0.6245 [16 per cell]
Tc 0.2500 0.2500 0.2500 [4 per cell]

Results
uncorrected energy: -3.569 eV per atom
formation enthalpy at 0 K: 318 meV/atom

---

Record 3
This record from Alexandria describes an optimized crystal structure of BaCu2Br6. The functional is GGA-PBE.

a b c (Å): 12.8229 4.9937 9.9053
angles (deg): 90.00 104.44 90.00
Space group C2/m (No. 12)
One atom of each set of equivalent atoms:
Ba 0.0000 0.0000 0.0000 [2 per cell]
Cu 0.2052 0.0000 0.6166 [4 per cell]
Br 0.0465 0.0000 0.6935 [4 per cell]
Br 0.1543 0.5000 0.1374 [4 per cell]
Br 0.1876 0.5000 0.5512 [4 per cell]

Results
uncorrected energy: -3.091 eV per atom
energy relative to the elements, uncorrected: -852 meV per atom

---

Record 4
This record from Alexandria describes an optimized crystal structure of PmPuAs2. The functional is GGA-PBE.

a b c (Å): 4.1906 4.1906 20.4296
angles (deg): 90.00 90.00 120.00
Space group R-3m (No. 166, hexagonal axes)
One atom of each set of equivalent atoms:
Pm 0.0000 0.0000 0.0000 [3 per cell]
Pu 0.0000 0.0000 0.5000 [3 per cell]
As 0.0000 0.0000 0.2465 [6 per cell]

Results
relative energy among the computed polymorphs: 0.0 meV per atom
uncorrected energy: -8.366 eV per atom
formation enthalpy at 0 K: -1271 meV/atom

---

Record 5
This record from Alexandria describes an optimized crystal structure of CsRb2ClF6. The functional is GGA-PBE.

a b c (Å): 6.4353 6.4353 12.0378
angles (deg): 90.00 90.00 90.00
Space group I4/mmm (No. 139)
One atom of each set of equivalent atoms:
Cs 0.0000 0.0000 0.0000 [2 per cell]
Rb 0.0000 0.5000 0.2500 [4 per cell]
Cl 0.0000 0.0000 0.5000 [2 per cell]
F 0.0000 0.0000 0.2345 [4 per cell]
F 0.2000 0.2000 0.5000 [8 per cell]

Results
uncorrected energy: -3.422 eV per atom
energy relative to the elements, uncorrected: -1835 meV per atom

---

Record 6
This record from Alexandria describes an optimized crystal structure of Cu3Sb4O12. The functional is GGA-PBE.

a b c (Å): 7.7062 7.7062 7.7062
angles (deg): 90.00 90.00 90.00
Space group Im-3 (No. 204)
One atom of each set of equivalent atoms:
Cu 0.0000 0.0000 0.5000 [6 per cell]
Sb 0.2500 0.2500 0.2500 [8 per cell]
O 0.0000 0.1843 0.3141 [24 per cell]

Results
uncorrected energy: -5.735 eV per atom
energy relative to the elements, uncorrected: -1089 meV per atom

---

Record 7
This record from Alexandria describes an optimized crystal structure of Li2MnH4. The functional is GGA-PBE.

a b c (Å): 3.2644 3.2644 10.0083
angles (deg): 90.00 90.00 90.00
Space group I4/mmm (No. 139)
One atom of each set of equivalent atoms:
Li 0.0000 0.0000 0.1456 [4 per cell]
Mn 0.0000 0.0000 0.5000 [2 per cell]
H 0.0000 0.0000 0.3341 [4 per cell]
H 0.0000 0.5000 0.0000 [4 per cell]

Results
relative energy among the computed polymorphs: 0.0 meV per atom
uncorrected energy: -3.973 eV per atom

---

Record 8
This record from Alexandria describes an optimized crystal structure of LiTa2Br. The functional is GGA-PBE.

a b c (Å): 3.0138 5.1499 10.0226
angles (deg): 90.00 90.00 90.00
Space group Cmmm (No. 65)
One atom of each set of equivalent atoms:
Li 0.0000 0.0000 0.0000 [2 per cell]
Ta 0.0000 0.5000 0.2617 [4 per cell]
Br 0.0000 0.0000 0.5000 [2 per cell]

Results
relative energy among the computed polymorphs: 633.4 meV per atom
uncorrected energy: -6.132 eV per atom
energy relative to the elements, uncorrected: 691 meV per atom

---

Record 9
This record from Alexandria describes an optimized crystal structure of Cu2Pb. The functional is GGA-PBE.

a b c (Å): 5.3560 5.3560 8.3959
angles (deg): 90.00 90.00 120.00
Space group P6_3/mmc (No. 194)
One atom of each set of equivalent atoms:
Cu 0.0000 0.0000 0.0000 [2 per cell]
Cu 0.1642 0.3283 0.2500 [6 per cell]
Pb 0.3333 0.6667 0.5554 [4 per cell]

Results
uncorrected energy: -3.798 eV per atom
formation enthalpy at 0 K: 169 meV/atom

---

Record 10
This record from Alexandria describes an optimized crystal structure of Sc2In. The functional is GGA-PBE.

a b c (Å): 3.3065 3.3065 7.6377
angles (deg): 90.00 90.00 120.00
Space group P-3m1 (No. 164)
One atom of each set of equivalent atoms:
Sc 0.3333 0.6667 0.3317 [2 per cell]
In 0.0000 0.0000 0.0000 [1 per cell]

Results
uncorrected energy: -5.322 eV per atom
formation enthalpy at 0 K: -188 meV/atom

---

Record 11
This record from Alexandria describes an optimized crystal structure of TiAsO6. The functional is GGA-PBE.

a b c (Å): 7.4930 7.4930 7.4930
angles (deg): 90.00 90.00 90.00
Space group Fm-3m (No. 225)
One atom of each set of equivalent atoms:
Ti 0.0000 0.0000 0.0000 [4 per cell]
As 0.0000 0.0000 0.5000 [4 per cell]
O 0.0000 0.0000 0.2584 [24 per cell]

Results
uncorrected energy: -6.456 eV per atom
energy relative to the elements, uncorrected: -1169 meV per atom

---

Record 12
This record from Alexandria describes an optimized crystal structure of Pm3Ni2P4Ru2. The functional is GGA-PBE.

a b c (Å): 3.9259 3.9259 14.8440
angles (deg): 90.00 90.00 120.00
Space group P-3m1 (No. 164)
One atom of each set of equivalent atoms:
Pm 0.0000 0.0000 0.0000 [1 per cell]
Pm 0.0000 0.0000 0.2729 [2 per cell]
Ni 0.3333 0.6667 0.1397 [2 per cell]
P 0.3333 0.6667 0.4019 [2 per cell]
P 0.3333 0.6667 0.8648 [2 per cell]
Ru 0.3333 0.6667 0.5615 [2 per cell]

Results
uncorrected energy: -7.080 eV per atom
formation enthalpy at 0 K: -1080 meV/atom

---

Q: Look up the uncorrected energy of the twelfth one.
A: -7.080 eV per atom